# 1
This record from Alexandria via LeMat-Bulk describes crystalline Ba2In2Ge2As at its relaxed geometry. The functional is GGA-PBE.

E_form	-0.4835	eV/atom

Cell: 16.7046 4.2729 6.5389 Å, 90.00 107.36 90.00°
Space group C2/m (No. 12)
Inequivalent atoms, fractional coordinates:
1 Ba 0.1293 0.0000 0.2879 [4 per cell]
2 In 0.0981 0.5000 0.7347 [4 per cell]
3 Ge 0.2351 0.0000 0.8670 [4 per cell]
4 As 0.0000 0.5000 0.0000 [2 per cell]

# 2
This record from Alexandria via LeMat-Bulk describes crystalline BaGeAs2O8 at its relaxed geometry. The functional is GGA-PBE.

distance to the lowest polymorph of the same formula	127	meV/atom
energy relative to the elements, uncorrected	-1563.5	meV per atom

Cell: 4.9356 4.9356 24.8820 Å, 90.00 90.00 120.00°
Space group R32 (No. 155, hexagonal axes)
Inequivalent atoms, fractional coordinates:
1 Ba 0.0000 0.0000 0.0000 [3 per cell]
2 Ge 0.0000 0.0000 0.5000 [3 per cell]
3 As 0.0000 0.0000 0.2367 [6 per cell]
4 O 0.0000 0.0000 0.3051 [6 per cell]
5 O 0.0215 0.3101 0.4492 [18 per cell]

# 3
This record from Alexandria via LeMat-Bulk describes crystalline BaGeAs2O8 at its relaxed geometry. The functional is GGA-PBE.

distance to the lowest polymorph of the same formula	0	meV/atom
energy relative to the elements, uncorrected	-1690.4	meV per atom

Cell: 8.2864 5.4008 7.9444 Å, 90.00 94.29 90.00°
Space group C2/m (No. 12)
Inequivalent atoms, fractional coordinates:
1 Ba 0.0000 0.0000 0.0000 [2 per cell]
2 Ge 0.0000 0.0000 0.5000 [2 per cell]
3 As 0.1322 0.5000 0.3062 [4 per cell]
4 O 0.0075 0.2415 0.3215 [8 per cell]
5 O 0.1874 0.5000 0.1055 [4 per cell]
6 O 0.2269 0.0000 0.5246 [4 per cell]

# 4
This record from Alexandria via LeMat-Bulk describes crystalline Ba2GeAsP at its relaxed geometry. The functional is GGA-PBE.

E_form	-0.8068	eV/atom

Cell: 7.8677 4.5388 8.9128 Å, 90.00 90.82 90.00°
Space group P2_1/m (No. 11)
Inequivalent atoms, fractional coordinates:
1 Ba 0.2433 0.2500 0.4917 [2 per cell]
2 Ba 0.2436 0.2500 0.0013 [2 per cell]
3 Ge 0.4177 0.7500 0.7329 [2 per cell]
4 As 0.1060 0.7500 0.7506 [2 per cell]
5 P 0.4531 0.7500 0.2376 [2 per cell]

Values for energy, eV per atom, ordered as above
-3.80, -6.19, -6.32, -4.51
Values for ρ, Mg/m³, ordered as above
5.401, 4.629, 4.569, 4.729